[1]
A geometry-optimized Si2Sn2Hg structure, computed with PBE.

Cell: 3.536 3.536 18.429 Å, 90.00 90.00 90.00°
Space group I4/mmm (No. 139)
One atom of each set of equivalent atoms:
Si: 0.000 0.500 0.250
Sn: 0.000 0.000 0.118
Hg: 0.000 0.000 0.500

Output
energy: -3.599 eV/atom
ΔE_f (raw): 231.6 meV/atom
total magnetization: 0.00 μB per atom


[2]
A geometry-optimized Ga2CoAg structure, computed with PBE.

Cell: 6.152 6.152 6.152 Å, 90.00 90.00 90.00°
Space group Fm-3m (No. 225)
One atom of each set of equivalent atoms:
Ga: 0.250 0.250 0.250
Co: 0.000 0.000 0.000
Ag: 0.000 0.000 0.500

Output
energy: -3.940 eV/atom
DFT formation energy: 63 meV per atom
total magnetization: 0.00 μB per atom


[3]
A geometry-optimized Na2NdSmS4 structure, computed with PBE.

Cell: 7.099 4.106 7.112 Å, 90.00 109.48 90.00°
Space group P2/m (No. 10)
One atom of each set of equivalent atoms:
Na: 0.000 0.000 0.000
Na: 0.000 0.500 0.500
Nd: 0.500 0.000 0.500
Sm: 0.500 0.500 0.000
S: 0.267 0.500 0.253
S: 0.269 0.000 0.759

Output
energy: -5.384 eV/atom
ΔE_f (raw): -1804.2 meV/atom
total magnetization: 0.00 μB per atom


[4]
A geometry-optimized Pa2AsSe3 structure, computed with PBE.

Cell: 20.060 3.934 7.993 Å, 90.00 110.84 90.00°
Space group C2/m (No. 12)
One atom of each set of equivalent atoms:
Pa: 0.086 0.000 0.154
Pa: 0.198 0.500 0.696
As: 0.197 0.500 0.318
Se: 0.027 0.500 0.842
Se: 0.094 0.000 0.516
Se: 0.181 0.000 0.951

Output
energy: -6.906 eV/atom
ΔE_f (raw): -1223.6 meV/atom
total magnetization: 0.08 μB per atom


[5]
A geometry-optimized La2MnP2 structure, computed with PBE.

Cell: 5.884 5.884 8.773 Å, 90.00 90.00 90.00°
Space group I4/mmm (No. 139)
One atom of each set of equivalent atoms:
La: 0.000 0.500 0.250
Mn: 0.000 0.000 0.000
P: 0.000 0.000 0.262

Output
energy: -6.573 eV/atom
DFT formation energy: -604 meV per atom
total magnetization: 0.70 μB per atom


[6]
A geometry-optimized Sr2Cd2Pd3 structure, computed with PBE.

Cell: 11.514 4.498 7.284 Å, 90.00 117.14 90.00°
Space group C2/m (No. 12)
One atom of each set of equivalent atoms:
Sr: 0.143 0.000 0.261
Cd: 0.144 0.000 0.747
Pd: 0.000 0.500 0.500
Pd: 0.092 0.500 0.928

Output
energy: -3.454 eV/atom
DFT formation energy: -486 meV per atom
total magnetization: 0.00 μB per atom